This record from Alexandria via LeMat-Bulk describes an optimized crystal structure of KP2HCl. The functional is PBE-GGA.

Theoretical density in kg/m³: 693
E in eV per atom: -2.19
E above lowest polymorph in meV per atom: 1149
Crystal system: tetragonal
Size of the total moment in μB/f.u.: 6.874

Lattice parameters (Å, degrees): 7.5710 7.5710 5.7511 90.00 90.00 90.00
Last column: nearest neighbours and their distance in Å.
Atoms (fractional coordinates):
K: 0.0000 0.0000 0.0000  2 Cl 2.88
P: 0.0000 0.5000 0.0000  2 K 3.79
P: 0.5000 0.0000 0.0000  2 K 3.79
H: 0.5000 0.5000 0.5000  8 P 4.75
Cl: 0.0000 0.0000 0.5000  2 K 2.88

=====

This record from Alexandria via LeMat-Bulk describes an optimized crystal structure of KP2HCl. The functional is PBE-GGA.

Theoretical density in kg/m³: 1955
E in eV per atom: -3.34
E above lowest polymorph in meV per atom: 0
Crystal system: tetragonal
Size of the total moment in μB/f.u.: 0.822

Lattice parameters (Å, degrees): 3.8715 3.8715 7.7922 90.00 90.00 90.00
Last column: nearest neighbours and their distance in Å.
Atoms (fractional coordinates):
K: 0.0000 0.0000 0.0000  4 Cl 2.74
P: 0.0000 0.5000 0.5000  2 H 1.94
P: 0.5000 0.0000 0.5000  2 H 1.94
H: 0.5000 0.5000 0.5000  4 P 1.94
Cl: 0.5000 0.5000 0.0000  4 K 2.74

=====

Among the records above, which one has the highest size of the total moment? number 1